Here is crystalline SnWAu2 at its relaxed geometry from the Open Quantum Materials Database. Energies are from PBE-GGA.

a = 4.7169 Å, b = 4.7169 Å, c = 4.7169 Å
α = 60.00°, β = 60.00°, γ = 60.00°
Last column: magnetic moment on the atom in μB.
Atoms (fractional coordinates):
Au1 0.7500 0.7500 0.7500  0.01
Au2 0.0000 0.0000 0.0000  0.04
Sn1 0.5000 0.5000 0.5000  0.00
W1 0.2500 0.2500 0.2500  0.80

space group	F-43m (216)
magnetic moment	1.062	μB/cell

Here is crystalline SnW2Au at its relaxed geometry from the Open Quantum Materials Database. Energies are from PBE-GGA.

a = 4.6559 Å, b = 4.6559 Å, c = 4.6559 Å
α = 60.00°, β = 60.00°, γ = 60.00°
Atoms (fractional coordinates):
W1 0.0000 0.0000 0.0000
W2 0.7500 0.7500 0.7500
Sn1 0.5000 0.5000 0.5000
Au1 0.2500 0.2500 0.2500

space group	F-43m (216)
magnetic moment	0.027	μB/cell

Here is crystalline Y2Sn2Au at its relaxed geometry from the Open Quantum Materials Database. Energies are from PBE-GGA.

a = 8.5534 Å, b = 8.5534 Å, c = 8.5534 Å
α = 152.31°, β = 152.31°, γ = 39.56°
Atoms (fractional coordinates):
Sn1 0.2500 0.7500 0.5000
Sn2 0.7500 0.2500 0.5000
Y1 0.5982 0.5982 0.0000
Y2 0.4018 0.4018 0.0000
Au1 0.0000 0.0000 0.0000

space group	I4/mmm (139)
magnetic moment	0.032	μB/cell

We obtain energy values of -5.296; -7.589; -5.195 eV/atom for the records listed above, in that order.